one:
{
  "formula": "V5Mo2W2",
  "functional": "PBE-GGA",
  "state": "optimized geometry",
  "volume_a3_per_atom": 14.78,
  "n_ef_per_ev_atom": 0.91,
  "m_tot_mub_per_cell": 0.00,
  "lattice_angstrom": [[2.962, 0.399, 0.021], [0.997, 10.767, 1.350], [0.989, 2.012, 4.469]],
  "species": ["V", "V", "V", "V", "V", "W", "W", "Mo", "Mo"],
  "fractional_positions": [[0.463, 0.802, 0.416], [0.000, 0.000, 0.000], [0.537, 0.198, 0.584], [0.129, 0.406, 0.227], [0.871, 0.594, 0.773], [0.251, 0.115, 0.268], [0.749, 0.885, 0.732], [0.291, 0.639, 0.214], [0.709, 0.361, 0.786]]
}

---

two:
{
  "formula": "V5Mo2W2",
  "functional": "PBE-GGA",
  "state": "optimized geometry",
  "volume_a3_per_atom": 15.65,
  "n_ef_per_ev_atom": 1.19,
  "m_tot_mub_per_cell": 0.00,
  "lattice_angstrom": [[-4.162, 4.582, 0.713], [-2.226, -1.126, -5.761], [-3.599, -4.144, 5.621]],
  "species": ["W", "W", "W", "W", "Mo", "Mo", "Mo", "Mo", "V", "V", "V", "V", "V", "V", "V", "V", "V", "V"],
  "fractional_positions": [[0.141, 0.646, 0.000], [0.359, 0.146, 0.000], [0.641, 0.854, 0.000], [0.859, 0.354, 0.000], [0.000, 0.765, 0.530], [0.000, 0.235, 0.470], [0.500, 0.265, 0.530], [0.500, 0.735, 0.470], [0.000, 0.000, 0.000], [0.189, 0.175, 0.719], [0.189, 0.456, 0.281], [0.811, 0.544, 0.719], [0.689, 0.325, 0.281], [0.311, 0.675, 0.719], [0.311, 0.956, 0.281], [0.689, 0.044, 0.719], [0.811, 0.825, 0.281], [0.500, 0.500, 0.000]]
}

---

Least stable: two